Entry 1:
{"formula": "V4Ge2Rh", "functional": "PBE-GGA", "state": "relaxed", "delta_e_f_ev_per_fu": 4.826, "total_magnetization_mub_per_cell": 2.27, "lattice": [[-1.081, -3.705, -2.248], [2.845, 1.141, -3.248], [5.754, -4.588, 0.358]], "species": ["Ge", "Ge", "V", "V", "V", "V", "Rh"], "frac_coords": [[0.373, 0.373, 0.255], [0.627, 0.627, 0.745], [0.816, 0.816, 0.367], [0.500, 0.000, 0.000], [0.000, 0.500, 0.000], [0.184, 0.184, 0.633], [0.000, 0.000, 0.000]]}



Entry 2:
{"formula": "TbTl3Pt8", "functional": "PBE-GGA", "state": "relaxed", "delta_e_f_ev_per_fu": -4.988, "total_magnetization_mub_per_cell": 0.00, "lattice": [[-4.789, 1.238, 2.331], [-2.225, -3.407, 3.652], [1.933, 3.493, 8.530]], "species": ["Pt", "Pt", "Pt", "Pt", "Pt", "Pt", "Pt", "Pt", "Tl", "Tl", "Tl", "Tb"], "frac_coords": [[0.939, 0.440, 0.683], [0.688, 0.688, 0.937], [0.934, 0.437, 0.191], [0.188, 0.188, 0.437], [0.437, 0.437, 0.191], [0.939, 0.939, 0.683], [0.437, 0.934, 0.191], [0.440, 0.939, 0.683], [0.496, 0.496, 0.511], [0.374, 0.374, 0.879], [0.003, 0.003, 0.992], [0.876, 0.876, 0.373]]}



Entry 3:
{"formula": "ScTlAg2", "functional": "PBE-GGA", "state": "relaxed", "delta_e_f_ev_per_fu": -0.289, "total_magnetization_mub_per_cell": 0.00, "lattice": [[3.514, 0.000, 0.000], [0.000, 3.514, 0.000], [0.000, 0.000, 6.750]], "species": ["Ag", "Ag", "Sc", "Tl"], "frac_coords": [[0.000, 0.000, 0.019], [0.500, 0.500, 0.244], [0.000, 0.000, 0.480], [0.500, 0.500, 0.757]]}



Entry 4:
{"formula": "CaVCu", "functional": "PBE-GGA", "state": "relaxed", "delta_e_f_ev_per_fu": 1.679, "e_above_lowest_polymorph_mev_per_atom": 309, "total_magnetization_mub_per_cell": 13.96, "lattice": [[7.526, 0.000, 0.000], [0.000, 8.213, 0.000], [0.000, 0.000, 4.351]], "species": ["V", "V", "V", "V", "Ca", "Ca", "Ca", "Ca", "Cu", "Cu", "Cu", "Cu"], "frac_coords": [[0.667, 0.750, 0.000], [0.167, 0.750, 0.500], [0.833, 0.250, 0.500], [0.333, 0.250, 0.000], [0.500, 0.500, 0.500], [0.500, 0.000, 0.500], [0.000, 0.500, 0.000], [0.000, 0.000, 0.000], [0.833, 0.750, 0.500], [0.167, 0.250, 0.500], [0.333, 0.750, 0.000], [0.667, 0.250, 0.000]]}